BeCrIn2 | PBE-GGA | relaxed

Geometry as CIF:
```
data_BeCrIn2
_cell_length_a 3.049
_cell_length_b 4.184
_cell_length_c 5.783
_cell_angle_alpha 90.00
_cell_angle_beta 90.29
_cell_angle_gamma 90.00
_symmetry_space_group_name_H-M 'P 1 2/m 1'
_symmetry_Int_Tables_number 10
loop_
_symmetry_equiv_pos_as_xyz
'x,y,z'
'-x,-y,-z'
'-x,y,-z'
'x,-y,z'
loop_
_atom_site_label
_atom_site_type_symbol
_atom_site_fract_x
_atom_site_fract_y
_atom_site_fract_z
Be1 Be 0.000 0.000 0.000
Cr1 Cr 0.500 0.000 0.500
In1 In 0.007 0.500 0.748
```

E_tot	-4.19	eV/atom
density	6.541	g/cm3

TeWN | PBE-GGA | relaxed

Geometry as CIF:
```
data_TeWN
_cell_length_a 3.432
_cell_length_b 27.668
_cell_length_c 3.364
_cell_angle_alpha 90.00
_cell_angle_beta 90.00
_cell_angle_gamma 90.00
_symmetry_space_group_name_H-M 'C m c m'
_symmetry_Int_Tables_number 63
_symmetry_space_group_name_Hall '-C 2c 2'
loop_
_atom_site_label
_atom_site_type_symbol
_atom_site_fract_x
_atom_site_fract_y
_atom_site_fract_z
Te1 Te 0.000 0.175 0.250
W1 W 0.000 0.099 0.750
N1 N 0.000 0.428 0.250
```

E_tot	-7.91	eV/atom
density	6.767	g/cm3
formation energy from raw total energies	0.23	eV/atom

Pm6GaSi2 | PBE-GGA | relaxed

Geometry as CIF:
```
data_Pm6GaSi2
_cell_length_a 9.727
_cell_length_b 9.987
_cell_length_c 10.307
_cell_angle_alpha 90.00
_cell_angle_beta 90.00
_cell_angle_gamma 90.00
_symmetry_space_group_name_H-M 'I m m m'
_symmetry_Int_Tables_number 71
_symmetry_space_group_name_Hall '-I 2 2'
loop_
_atom_site_label
_atom_site_type_symbol
_atom_site_fract_x
_atom_site_fract_y
_atom_site_fract_z
Pm1 Pm 0.000 0.200 0.245
Pm2 Pm 0.208 0.500 0.176
Pm3 Pm 0.232 0.321 0.500
Ga1 Ga 0.000 0.000 0.000
Ga2 Ga 0.000 0.000 0.500
Si1 Si 0.000 0.371 0.000
Si2 Si 0.000 0.500 0.385
```

E_tot	-5.21	eV/atom
density	6.607	g/cm3
formation energy from raw total energies	-0.50	eV/atom

CaMn4Re | PBE-GGA | relaxed

Geometry as CIF:
```
data_CaMn4Re
_cell_length_a 6.892
_cell_length_b 6.892
_cell_length_c 6.892
_cell_angle_alpha 90.00
_cell_angle_beta 90.00
_cell_angle_gamma 90.00
_symmetry_space_group_name_H-M 'F -4 3 m'
_symmetry_Int_Tables_number 216
_symmetry_space_group_name_Hall 'F -4 2 3'
loop_
_atom_site_label
_atom_site_type_symbol
_atom_site_fract_x
_atom_site_fract_y
_atom_site_fract_z
Ca1 Ca 0.000 0.000 0.000
Mn1 Mn 0.125 0.125 0.625
Re1 Re 0.250 0.250 0.250
```

E_tot	-8.13	eV/atom
density	9.050	g/cm3

Ce2Pu2Sb2Ir | PBE-GGA | relaxed

Geometry as CIF:
```
data_Ce2Pu2Sb2Ir
_cell_length_a 5.131
_cell_length_b 5.131
_cell_length_c 16.891
_cell_angle_alpha 90.00
_cell_angle_beta 90.00
_cell_angle_gamma 90.00
_symmetry_space_group_name_H-M 'I 4/m m m'
_symmetry_Int_Tables_number 139
_symmetry_space_group_name_Hall '-I 4 2'
loop_
_atom_site_label
_atom_site_type_symbol
_atom_site_fract_x
_atom_site_fract_y
_atom_site_fract_z
Ce1 Ce 0.000 0.000 0.175
Pu1 Pu 0.000 0.500 0.000
Sb1 Sb 0.000 0.000 0.365
Ir1 Ir 0.000 0.000 0.000
```

E_tot	-8.71	eV/atom
density	8.993	g/cm3
formation energy from raw total energies	-0.48	eV/atom

TmMgTl2 | PBE-GGA | relaxed

Geometry as CIF:
```
data_TmMgTl2
_cell_length_a 4.913
_cell_length_b 4.913
_cell_length_c 4.172
_cell_angle_alpha 90.00
_cell_angle_beta 90.00
_cell_angle_gamma 90.00
_symmetry_space_group_name_H-M 'P 4/m m m'
_symmetry_Int_Tables_number 123
_symmetry_space_group_name_Hall '-P 4 2'
loop_
_atom_site_label
_atom_site_type_symbol
_atom_site_fract_x
_atom_site_fract_y
_atom_site_fract_z
Tm1 Tm 0.000 0.000 0.000
Mg1 Mg 0.500 0.500 0.000
Tl1 Tl 0.000 0.500 0.500
```

E_tot	-2.93	eV/atom
density	9.926	g/cm3

ZnS2F | PBE-GGA | relaxed

Geometry as CIF:
```
data_ZnS2F
_cell_length_a 2.7805
_cell_length_b 2.7805
_cell_length_c 25.3785
_cell_angle_alpha 90.00
_cell_angle_beta 90.00
_cell_angle_gamma 120.00
_symmetry_space_group_name_H-M 'R -3 m'
_symmetry_Int_Tables_number 166
_symmetry_space_group_name_Hall '-R 3 2"'
loop_
_atom_site_label
_atom_site_type_symbol
_atom_site_fract_x
_atom_site_fract_y
_atom_site_fract_z
Zn1 Zn 0.0000 0.0000 0.0000
S1 S 0.0000 0.0000 0.0896
F1 F 0.0000 0.0000 0.5000
```

E_tot	-2.60	eV/atom
density	4.355	g/cm3
formation energy from raw total energies	0.25	eV/atom
excess energy over the best structure of this formula in the dataset	601.2	meV per atom

Pr2GdPd | PBE-GGA | relaxed

Geometry as CIF:
```
data_Pr2GdPd
_cell_length_a 3.7226
_cell_length_b 3.7226
_cell_length_c 32.6340
_cell_angle_alpha 90.00
_cell_angle_beta 90.00
_cell_angle_gamma 120.00
_symmetry_space_group_name_H-M 'R -3 m'
_symmetry_Int_Tables_number 166
_symmetry_space_group_name_Hall '-R 3 2"'
loop_
_atom_site_label
_atom_site_type_symbol
_atom_site_fract_x
_atom_site_fract_y
_atom_site_fract_z
Pr1 Pr 0.0000 0.0000 0.1054
Gd1 Gd 0.0000 0.0000 0.0000
Pd1 Pd 0.0000 0.0000 0.5000
```

E_tot	-7.26	eV/atom
density	6.938	g/cm3
excess energy over the best structure of this formula in the dataset	256.2	meV per atom